8
Lattice="-4.269 4.269 4.269 4.269 -4.269 4.269 4.269 4.269 -4.269" Properties=species:S:1:pos:R:3 comment="NaCu, relaxed, DFT PBE" ef_ev_per_atom=0.4386 total_magnetization_mub_per_atom=0.000 final_energy_ev_per_atom=-2.2690 pbc="T T T"
Na 2.486 2.486 -2.486
Na 2.486 -2.486 2.486
Na 1.783 1.783 1.783
Na -2.486 2.486 2.486
Cu 0.855 0.855 -0.855
Cu 0.855 -0.855 0.855
Cu -0.855 0.855 0.855
Cu 3.415 3.415 3.415

---

12
Lattice="5.225 0.000 0.000 0.000 9.119 0.000 0.000 0.000 5.204" Properties=species:S:1:pos:R:3 comment="NaCu, relaxed, DFT PBE" ef_ev_per_atom=0.2455 total_magnetization_mub_per_atom=0.000 final_energy_ev_per_atom=-2.4621 pbc="T T T"
Na 1.306 0.762 0.015
Na 1.306 3.797 0.015
Na 1.306 6.839 1.613
Na 3.919 2.280 3.590
Na 3.919 5.322 5.189
Na 3.919 8.357 5.189
Cu 0.000 0.000 2.602
Cu 0.000 4.560 2.602
Cu 1.306 2.280 2.585
Cu 2.612 0.000 2.602
Cu 2.612 4.560 2.602
Cu 3.919 6.839 2.619

---

8
Lattice="5.741 0.000 0.000 0.000 5.741 0.000 0.000 0.000 5.737" Properties=species:S:1:pos:R:3 comment="NaCu, relaxed, DFT PBE" ef_ev_per_atom=0.4961 total_magnetization_mub_per_atom=0.000 final_energy_ev_per_atom=-2.2115 pbc="T T T"
Na 1.059 1.059 0.000
Na 1.811 3.929 2.869
Na 3.929 1.811 2.869
Na 4.682 4.682 0.000
Cu 0.858 0.858 2.869
Cu 2.012 3.729 0.000
Cu 3.729 2.012 0.000
Cu 4.882 4.882 2.869

---

4
Lattice="-1.925 1.925 3.854 1.925 -1.925 3.854 1.925 1.925 -3.854" Properties=species:S:1:pos:R:3 comment="NaCu3, relaxed, DFT PBE" ef_ev_per_atom=0.3116 total_magnetization_mub_per_atom=0.000 final_energy_ev_per_atom=-3.0903 pbc="T T T"
Na 0.000 0.000 0.000
Cu 1.925 0.000 1.927
Cu 0.000 0.000 3.854
Cu 0.000 1.925 1.927

---

4
Lattice="3.851 0.000 0.000 0.000 3.851 0.000 0.000 0.000 3.851" Properties=species:S:1:pos:R:3 comment="NaCu3, relaxed, DFT PBE" ef_ev_per_atom=0.3242 total_magnetization_mub_per_atom=0.000 final_energy_ev_per_atom=-3.0776 pbc="T T T"
Na 0.000 0.000 0.000
Cu 0.000 1.925 1.925
Cu 1.925 0.000 1.925
Cu 1.925 1.925 0.000

---

2
Lattice="2.870 0.000 0.000 -1.435 2.485 0.000 0.000 0.000 4.953" Properties=species:S:1:pos:R:3 comment="NaCu, relaxed, DFT PBE" ef_ev_per_atom=0.3920 total_magnetization_mub_per_atom=0.000 final_energy_ev_per_atom=-2.3156 pbc="T T T"
Na 0.000 0.000 0.000
Cu 0.000 1.657 2.477

---

8
Lattice="0.000 4.445 5.503 3.696 0.000 5.503 3.696 4.445 0.000" Properties=species:S:1:pos:R:3 comment="NaCu, relaxed, DFT PBE" ef_ev_per_atom=0.4454 total_magnetization_mub_per_atom=0.000 final_energy_ev_per_atom=-2.2622 pbc="T T T"
Na 2.772 0.612 4.127
Na 4.621 2.835 6.879
Na 2.772 6.056 4.127
Na 4.621 8.279 6.879
Cu 3.953 3.334 4.127
Cu 5.801 5.557 6.879
Cu 1.592 3.334 4.127
Cu 3.440 5.557 6.879

---

16
Lattice="5.900 0.000 0.000 0.000 7.082 0.000 0.000 0.000 7.728" Properties=species:S:1:pos:R:3 comment="NaCu, relaxed, DFT PBE" ef_ev_per_atom=0.2741 total_magnetization_mub_per_atom=0.000 final_energy_ev_per_atom=-2.4335 pbc="T T T"
Na 0.308 1.340 3.647
Na 0.884 3.990 5.289
Na 2.066 3.092 1.425
Na 2.642 5.743 7.511
Na 3.258 2.201 4.081
Na 3.834 6.633 2.439
Na 5.016 0.449 6.302
Na 5.591 4.881 0.217
Cu 0.764 0.443 1.022
Cu 0.970 5.770 2.821
Cu 1.980 1.312 6.685
Cu 2.186 6.639 4.886
Cu 3.714 3.098 6.705
Cu 3.920 4.853 4.906
Cu 4.930 2.229 1.042
Cu 5.136 3.984 2.842

---

4
Lattice="2.955 0.000 0.000 0.000 3.801 0.000 0.000 0.000 8.027" Properties=species:S:1:pos:R:3 comment="NaCu, relaxed, DFT PBE" ef_ev_per_atom=0.2062 total_magnetization_mub_per_atom=0.000 final_energy_ev_per_atom=-2.5014 pbc="T T T"
Na 0.739 0.950 1.554
Na 2.217 2.851 6.473
Cu 0.739 2.851 3.876
Cu 2.217 0.950 4.151

---

5
Lattice="5.572 0.000 0.000 0.000 5.572 0.000 0.000 0.000 5.572" Properties=species:S:1:pos:R:3 comment="Na4Cu, relaxed, DFT PBE" ef_ev_per_atom=0.2162 total_magnetization_mub_per_atom=0.000 final_energy_ev_per_atom=-1.6582 pbc="T T T"
Na 0.000 0.000 0.000
Na 0.000 2.786 2.786
Na 2.786 0.000 2.786
Na 2.786 2.786 0.000
Cu 2.786 2.786 2.786

---

8
Lattice="-5.326 5.326 1.434 5.326 -5.326 1.434 5.326 5.326 -1.434" Properties=species:S:1:pos:R:3 comment="NaCu, relaxed, DFT PBE" ef_ev_per_atom=0.2390 total_magnetization_mub_per_atom=0.000 final_energy_ev_per_atom=-2.4687 pbc="T T T"
Na 1.933 1.315 0.000
Na 4.011 -3.393 1.434
Na 1.315 8.719 0.000
Na 3.393 4.011 1.434
Cu 6.575 0.700 0.000
Cu 0.700 4.076 0.000
Cu 4.626 1.250 1.434
Cu -1.250 4.626 1.434

---

2
Lattice="0.000 3.288 3.288 3.288 0.000 3.288 3.288 3.288 0.000" Properties=species:S:1:pos:R:3 comment="NaCu, relaxed, DFT PBE" ef_ev_per_atom=0.7666 total_magnetization_mub_per_atom=0.000 final_energy_ev_per_atom=-1.9410 pbc="T T T"
Na 0.000 0.000 0.000
Cu 4.932 4.932 4.932